[1]
The following is a DFT calculation (PBE) of a relaxed VCd2H crystal.

POSCAR file:
```
VCd2H
1.0
0.0000 3.3128 3.3128
3.3128 0.0000 3.3128
3.3128 3.3128 0.0000
H Cd V
1 2 1
Direct
0.0000 0.0000 0.0000
0.2500 0.2500 0.2500
0.7500 0.7500 0.7500
0.5000 0.5000 0.5000
```

Magnetic moment: 3.402 μB per cell
Calculated total energy: -2.660 eV/atom
E above lowest polymorph: 0.342 eV/atom


[2]
The following is a DFT calculation (PBE) of a relaxed TmLuCdCo crystal.

POSCAR file:
```
TmLuCdCo
1.0
-0.5124 -4.7889 -1.0923
1.7240 -3.4376 3.0984
-3.1456 -2.7986 2.5811
Lu Tm Co Cd
1 1 1 1
Direct
0.5000 0.5000 0.5000
0.0000 0.0000 0.0000
0.2500 0.2500 0.2500
0.7500 0.7500 0.7500
```

Magnetic moment: 0.597 μB per cell
Calculated total energy: -4.428 eV/atom
Calculated formation energy: -0.1744 eV/atom


[3]
The following is a DFT calculation (PBE) of a relaxed In2AgHg2 crystal.

POSCAR file:
```
In2AgHg2
1.0
4.0778 0.0000 0.0000
0.0000 4.0778 0.0000
2.0389 2.0389 8.1132
In Hg Ag
2 2 1
Direct
0.4084 0.4084 0.1833
0.5916 0.5916 0.8167
0.7500 0.2500 0.5000
0.2500 0.7500 0.5000
0.0000 0.0000 0.0000
```

Magnetic moment: 0.000 μB per cell
Calculated total energy: -1.602 eV/atom
Calculated formation energy: 0.1841 eV/atom
E above lowest polymorph: 0.152 eV/atom


[4]
The following is a DFT calculation (PBE) of a relaxed PmGa3Pt crystal.

POSCAR file:
```
PmGa3Pt
1.0
4.3003 0.0000 0.0000
0.0000 8.3619 0.0000
0.0000 0.0000 10.9488
Ga Pm Pt
12 4 4
Direct
0.2500 0.3581 0.2845
0.7500 0.9329 0.5892
0.2500 0.8581 0.2155
0.7500 0.1419 0.7845
0.2500 0.3867 0.6814
0.7500 0.6133 0.3186
0.2500 0.5671 0.0892
0.7500 0.1133 0.1814
0.7500 0.6419 0.7155
0.7500 0.4329 0.9108
0.2500 0.8867 0.8186
0.2500 0.0671 0.4108
0.7500 0.8032 0.0205
0.2500 0.6968 0.5205
0.2500 0.1968 0.9795
0.7500 0.3032 0.4795
0.7500 0.4116 0.1496
0.7500 0.9116 0.3504
0.2500 0.0884 0.6496
0.2500 0.5884 0.8504
```

Magnetic moment: 0.000 μB per cell
Calculated total energy: -4.736 eV/atom
Calculated formation energy: -0.7614 eV/atom
E above lowest polymorph: 0.032 eV/atom


[5]
The following is a DFT calculation (PBE) of a relaxed BaLa2Au crystal.

POSCAR file:
```
BaLa2Au
1.0
3.9272 -0.0159 0.0000
0.0170 3.9272 0.0000
0.0000 0.0000 9.4090
Au La Ba
1 2 1
Direct
0.0000 0.0000 0.4623
0.0000 0.0000 0.0414
0.5000 0.5000 0.2983
0.5000 0.5000 0.6979
```

Magnetic moment: 0.000 μB per cell
Calculated total energy: -4.085 eV/atom
Calculated formation energy: -0.3215 eV/atom
E above lowest polymorph: 0.000 eV/atom


[6]
The following is a DFT calculation (PBE) of a relaxed HfTl3Cu crystal.

POSCAR file:
```
HfTl3Cu
1.0
-5.1020 1.9292 -1.4646
0.0127 -3.3937 -4.5145
-2.4222 -4.0815 3.0614
Tl Hf Cu
3 1 1
Direct
0.0000 0.5000 0.0000
0.5000 0.0000 0.0000
0.0000 0.0000 0.5000
0.0000 0.0000 0.0000
0.5000 0.5000 0.5000
```

Magnetic moment: 0.000 μB per cell
Calculated total energy: -3.260 eV/atom
Calculated formation energy: 0.9701 eV/atom
E above lowest polymorph: 0.280 eV/atom


> What is the magnetic moment in the sixth record?

0.000 μB per cell


Copy entry 5 word for word.
The following is a DFT calculation (PBE) of a relaxed BaLa2Au crystal.

POSCAR file:
```
BaLa2Au
1.0
3.9272 -0.0159 0.0000
0.0170 3.9272 0.0000
0.0000 0.0000 9.4090
Au La Ba
1 2 1
Direct
0.0000 0.0000 0.4623
0.0000 0.0000 0.0414
0.5000 0.5000 0.2983
0.5000 0.5000 0.6979
```

Magnetic moment: 0.000 μB per cell
Calculated total energy: -4.085 eV/atom
Calculated formation energy: -0.3215 eV/atom
E above lowest polymorph: 0.000 eV/atom